{
  "formula": "PrMg5Hg3",
  "functional": "PBE",
  "state": "optimized geometry",
  "total_energy_ev_per_cell": -31.33,
  "magnetic_moment_mub_per_cell": 0.00,
  "delta_e_f_ev_per_atom": -0.22,
  "sg": "Cmcm (63)",
  "cell": [[-0.5653, -0.8769, -3.5965], [7.6402, -1.6224, 1.1443], [-3.6133, -14.1772, 4.0246]],
  "species": ["Mg", "Pr", "Mg", "Hg", "Mg", "Hg", "Mg", "Pr", "Hg", "Mg", "Mg", "Mg", "Hg", "Hg", "Mg", "Mg", "Mg", "Hg"],
  "frac_coords": [[0.0000, 0.0000, 0.0000], [0.1517, 0.3034, 0.2500], [0.5469, 0.0938, 0.6527], [0.3769, 0.7539, 0.9289], [0.4531, 0.9062, 0.3473], [0.6231, 0.2461, 0.4289], [0.0000, 0.0000, 0.5000], [0.8483, 0.6966, 0.7500], [0.1628, 0.3256, 0.7500], [0.1944, 0.3887, 0.5650], [0.8056, 0.6113, 0.0650], [0.8056, 0.6113, 0.4350], [0.3769, 0.7539, 0.5711], [0.8372, 0.6744, 0.2500], [0.5469, 0.0938, 0.8473], [0.4531, 0.9062, 0.1527], [0.1944, 0.3887, 0.9350], [0.6231, 0.2461, 0.0711]]
}